Arrangement a

A relaxed B3OsBr crystal. Source: the Alexandria database, functional PBE-GGA.

```
B3OsBr
1.0
4.006 0.000 0.000
0.000 4.006 0.000
0.000 0.000 4.006
B Os Br
3 1 1
Direct
0.000 0.500 0.000
0.000 0.000 0.500
0.500 0.000 0.000
0.500 0.500 0.500
0.000 0.000 0.000
```



Arrangement b

A relaxed B3OsBr crystal. Source: the Alexandria database, functional PBE-GGA.

```
B3OsBr
1.0
4.220 0.000 0.000
0.000 4.220 0.000
0.000 0.000 4.220
B Os Br
3 1 1
Direct
0.000 0.500 0.000
0.000 0.000 0.500
0.500 0.000 0.000
0.000 0.000 0.000
0.500 0.500 0.500
```



It is arrangement a that is the least stable of them.



Arrangement a

A relaxed BOs2Br crystal. Source: the Alexandria database, functional PBE-GGA.

```
BOs2Br
1.0
-0.555 4.010 -2.371
-4.619 -0.163 0.805
-1.789 5.125 4.447
B Os Br
2 4 2
Direct
0.500 0.500 0.000
0.250 0.750 0.500
0.520 0.125 0.250
0.230 0.625 0.250
0.375 0.480 0.750
0.875 0.770 0.750
0.000 0.000 0.000
0.750 0.250 0.500
```



Arrangement b

A relaxed BOs2Br crystal. Source: the Alexandria database, functional PBE-GGA.

```
BOs2Br
1.0
-3.380 2.303 1.000
-1.924 2.306 -2.951
-3.806 -1.128 -1.404
B Os Br
1 2 1
Direct
0.000 0.000 0.000
0.250 0.250 0.250
0.750 0.750 0.750
0.500 0.500 0.500
```



It is arrangement b that is the least stable of them.



Arrangement a

A relaxed BOsSe2Br crystal. Source: the Alexandria database, functional PBE-GGA.

```
BOsSe2Br
1.0
-1.658 3.078 3.265
-4.409 -0.469 -1.797
-0.942 -4.094 3.381
B Os Se Br
1 1 2 1
Direct
0.500 0.500 0.500
0.000 0.000 0.000
0.000 0.500 0.000
0.500 0.000 0.000
0.000 0.000 0.500
```



Arrangement b

A relaxed BOsSe2Br crystal. Source: the Alexandria database, functional PBE-GGA.

```
BOsSe2Br
1.0
-3.329 -2.752 -0.641
2.020 -1.626 -3.514
1.971 -2.968 2.506
B Os Se Br
1 1 2 1
Direct
0.000 0.000 0.000
0.500 0.500 0.500
0.000 0.500 0.000
0.500 0.000 0.000
0.000 0.000 0.500
```



It is arrangement b that is the least stable of them.



Arrangement a

A relaxed BPBr2 crystal. Source: the Alexandria database, functional PBE-GGA.

```
BPBr2
1.0
0.000 3.380 3.380
3.380 0.000 3.380
3.380 3.380 0.000
P B Br
1 1 2
Direct
0.500 0.500 0.500
0.000 0.000 0.000
0.250 0.250 0.250
0.750 0.750 0.750
```



Arrangement b

A relaxed BPBr2 crystal. Source: the Alexandria database, functional PBE-GGA.

```
BPBr2
1.0
1.980 0.000 8.320
-0.990 1.715 8.320
-0.990 -1.715 8.320
P B Br
1 1 2
Direct
0.000 0.000 0.000
0.500 0.500 0.500
0.899 0.899 0.899
0.101 0.101 0.101
```



Arrangement c

A relaxed BPBr2 crystal. Source: the Alexandria database, functional PBE-GGA.

```
BPBr2
1.0
-3.498 -0.327 3.426
-0.151 -4.866 -0.619
3.833 -3.495 7.095
P B Br
2 2 4
Direct
0.000 0.000 0.000
0.750 0.250 0.500
0.500 0.500 0.000
0.250 0.750 0.500
0.631 0.125 0.250
0.119 0.625 0.250
0.375 0.369 0.750
0.875 0.881 0.750
```



It is arrangement a that is the least stable of them.



Arrangement a

A relaxed BP2SBr crystal. Source: the Alexandria database, functional PBE-GGA.

```
BP2SBr
1.0
-3.193 2.572 -1.590
-2.984 -2.307 2.261
0.453 2.525 3.176
P S B Br
2 1 1 1
Direct
0.000 0.500 0.000
0.500 0.000 0.000
0.000 0.000 0.500
0.000 0.000 0.000
0.500 0.500 0.500
```



Arrangement b

A relaxed BP2SBr crystal. Source: the Alexandria database, functional PBE-GGA.

```
BP2SBr
1.0
4.924 0.000 0.000
0.000 4.924 0.000
0.000 0.000 4.829
P S B Br
2 1 1 1
Direct
0.000 0.500 0.000
0.500 0.000 0.000
0.000 0.000 0.500
0.500 0.500 0.500
0.000 0.000 0.000
```



It is arrangement b that is the least stable of them.



Arrangement a

A relaxed BPbSe2Br crystal. Source: the Alexandria database, functional PBE-GGA.

```
BPbSe2Br
1.0
5.445 0.000 0.000
0.000 5.445 0.000
0.000 0.000 5.767
Pb B Se Br
1 1 2 1
Direct
0.000 0.000 0.000
0.500 0.500 0.500
0.000 0.500 0.000
0.500 0.000 0.000
0.000 0.000 0.500
```



Arrangement b

A relaxed BPbSe2Br crystal. Source: the Alexandria database, functional PBE-GGA.

```
BPbSe2Br
1.0
-2.166 -3.547 1.901
3.108 -0.103 3.349
-2.938 3.310 2.829
Pb B Se Br
1 1 2 1
Direct
0.500 0.500 0.500
0.000 0.000 0.000
0.000 0.500 0.000
0.500 0.000 0.000
0.000 0.000 0.500
```



It is arrangement a that is the least stable of them.